Material: Ca2TcPb
Method: DFT, GGA-PBEsol
State: optimized geometry

CIF file:
```
data_Ca2TcPb
_symmetry_space_group_name_H-M 'P 1'
_symmetry_Int_Tables_number 1
_cell_length_a 3.531
_cell_length_b 5.206
_cell_length_c 5.206
_cell_angle_alpha 90.00
_cell_angle_beta 90.00
_cell_angle_gamma 90.00
loop_
_symmetry_equiv_pos_as_xyz
'x,y,z'
loop_
_atom_site_label
_atom_site_fract_x
_atom_site_fract_y
_atom_site_fract_z
_atom_site_occupancy
Ca1 0.000 0.000 0.500 1
Ca2 0.000 0.500 0.000 1
Tc1 0.500 0.000 0.000 1
Pb1 0.500 0.500 0.500 1
```

=====

Material: Ca2TcPb
Method: DFT, GGA-PBEsol
State: optimized geometry

CIF file:
```
data_Ca2TcPb
_symmetry_space_group_name_H-M 'P 1'
_symmetry_Int_Tables_number 1
_cell_length_a 3.814
_cell_length_b 5.071
_cell_length_c 5.902
_cell_angle_alpha 115.44
_cell_angle_beta 108.85
_cell_angle_gamma 90.00
loop_
_symmetry_equiv_pos_as_xyz
'x,y,z'
loop_
_atom_site_label
_atom_site_fract_x
_atom_site_fract_y
_atom_site_fract_z
_atom_site_occupancy
Ca1 0.761 0.261 0.521 1
Pb1 0.533 0.531 0.065 1
Ca2 0.978 0.977 0.956 1
Tc1 0.229 0.731 0.458 1
```

=====

Material: Ca3TcPb
Method: DFT, GGA-PBEsol
State: optimized geometry

CIF file:
```
data_Ca3TcPb
_symmetry_space_group_name_H-M 'P 1'
_symmetry_Int_Tables_number 1
_cell_length_a 5.818
_cell_length_b 5.818
_cell_length_c 5.818
_cell_angle_alpha 90.00
_cell_angle_beta 90.00
_cell_angle_gamma 90.00
loop_
_symmetry_equiv_pos_as_xyz
'x,y,z'
loop_
_atom_site_label
_atom_site_fract_x
_atom_site_fract_y
_atom_site_fract_z
_atom_site_occupancy
Pb1 0.000 0.000 0.000 1
Tc1 0.500 0.500 0.500 1
Ca1 0.500 0.000 0.000 1
Ca2 0.000 0.500 0.000 1
Ca3 0.000 0.000 0.500 1
```

=====

Material: Ca2TcPb
Method: DFT, GGA-PBEsol
State: optimized geometry

CIF file:
```
data_Ca2TcPb
_symmetry_space_group_name_H-M 'P 1'
_symmetry_Int_Tables_number 1
_cell_length_a 4.473
_cell_length_b 4.473
_cell_length_c 5.554
_cell_angle_alpha 113.74
_cell_angle_beta 113.74
_cell_angle_gamma 90.00
loop_
_symmetry_equiv_pos_as_xyz
'x,y,z'
loop_
_atom_site_label
_atom_site_fract_x
_atom_site_fract_y
_atom_site_fract_z
_atom_site_occupancy
Ca1 0.250 0.750 0.500 1
Pb1 0.500 0.500 0.000 1
Ca2 0.750 0.250 0.500 1
Tc1 0.000 0.000 0.000 1
```

=====

no.,calculated total energy (eV per atom),energy of formation from the pure elements (meV/atom)
1,-4.50,380
2,-4.63,250
3,-3.37,961
4,-4.55,332